The following is a PBE calculation of KCoMo2Pt after structural relaxation, from Alexandria via LeMat-Bulk.

```
5
Lattice="-0.155 2.896 -3.407 1.442 -3.745 -3.249 -4.293 -1.049 -0.697" Properties=species:S:1:pos:R:3 pbc="T T T"
Mo -2.147 -0.524 -0.348
Mo -0.077 1.448 -1.703
Co 0.000 0.000 0.000
K 0.721 -1.872 -1.624
Pt -1.503 -0.949 -3.676
```

Properties
* final energy: -28.124 eV per cell
* symmetry: P4/mmm, No. 123
* total moment: 2.2 μB per formula unit
* V: 103.4 Å³ per cell